Material: Mn2CuAsF
Method: DFT, GGA+U
State: optimized geometry

Unit cell a=4.9829 b=4.9829 c=4.2971 alpha=90.00 beta=90.00 gamma=90.00
Last column: nearest neighbours and their distance in Å.
Atoms (fractional coordinates):
1 Mn 0.0000 0.5000 0.0000  2 Cu 2.49
2 Mn 0.5000 0.0000 0.0000  2 Cu 2.49
3 Cu 0.0000 0.0000 0.0000  2 As 2.15
4 As 0.0000 0.0000 0.5000  2 Cu 2.15
5 F 0.5000 0.5000 0.5000  8 Mn 3.29, 4 As 3.52

Electronic total energy in Ha/atom: -0.1859
Total magnetization in μB per formula unit: 9.85